Run P
The following is a GGA-PBEsol calculation of crystalline Li2SnAs2 at its relaxed geometry, from Alexandria.

The structure in extended XYZ format:
```
10
Lattice="-2.282 1.662 0.377 -4.701 -6.440 -0.063 0.816 -0.674 7.903" Properties=species:S:1:pos:R:3 pbc="T T T"
Sn 0.000 0.000 0.000
Li -4.966 -5.088 3.132
As -3.035 -4.472 1.349
Li -1.201 -0.363 5.085
As -3.321 -5.761 5.291
As -0.563 -1.352 2.549
As -0.850 -2.641 6.491
Li -2.827 -1.694 1.117
Li -3.340 -3.757 7.100
Sn -1.942 -3.557 3.920
```

Run Q
The following is a GGA-PBEsol calculation of crystalline Li2SnAs2 at its relaxed geometry, from Alexandria.

The structure in extended XYZ format:
```
5
Lattice="-3.736 0.133 -2.033 -1.998 -1.068 3.603 2.379 5.533 0.445" Properties=species:S:1:pos:R:3 pbc="T T T"
Li -1.243 1.999 2.416
Sn 0.000 0.000 0.000
Li -2.112 2.600 -0.401
As -2.980 0.697 1.067
As -0.376 3.902 0.948
```

Which of them is the most stable? Correct choice: run P.

Run P
The following is a GGA-PBEsol calculation of crystalline LiTe2As at its relaxed geometry, from Alexandria.

The structure in extended XYZ format:
```
4
Lattice="-2.620 0.908 -2.900 -2.711 -2.621 1.629 -0.696 4.681 4.870" Properties=species:S:1:pos:R:3 pbc="T T T"
As -3.031 3.586 3.861
Te -2.439 -2.287 1.487
Li -4.687 1.061 1.791
Te -1.944 1.811 2.323
```

Run Q
The following is a GGA-PBEsol calculation of crystalline LiTe2As at its relaxed geometry, from Alexandria.

The structure in extended XYZ format:
```
4
Lattice="4.043 0.000 0.000 0.000 4.043 0.000 0.000 0.000 6.098" Properties=species:S:1:pos:R:3 pbc="T T T"
Te 2.022 2.022 2.097
As 0.000 0.000 2.633
Li 2.022 2.022 5.309
Te 0.000 0.000 5.207
```

Run R
The following is a GGA-PBEsol calculation of crystalline LiTe2As at its relaxed geometry, from Alexandria.

The structure in extended XYZ format:
```
4
Lattice="-3.953 1.018 0.061 -2.433 -1.075 -3.097 -3.592 -5.890 2.176" Properties=species:S:1:pos:R:3 pbc="T T T"
Te -2.508 -1.541 -0.186
Te -7.469 -4.406 -0.675
As -4.989 -2.973 -0.430
Li 0.000 0.000 0.000
```

Run S
The following is a GGA-PBEsol calculation of crystalline LiTe2As at its relaxed geometry, from Alexandria.

The structure in extended XYZ format:
```
4
Lattice="-0.058 -0.509 -4.078 -0.504 -4.047 0.512 -5.198 2.959 1.776" Properties=species:S:1:pos:R:3 pbc="T T T"
Li -2.992 -1.683 0.252
As -0.281 -2.278 -1.783
Te 0.000 0.000 0.000
Te -2.768 0.086 -2.043
```

Which of them is the most stable? Correct choice: run R.